Arrangement one

{
  "formula": "Tb2Dy5Sc4",
  "functional": "GGA-PBE",
  "state": "optimized geometry",
  "lattice": [[3.5112, 0.0000, 0.0000], [0.0000, 8.6741, -0.1237], [0.0000, 1.0826, 10.7095]],
  "species": ["Tb", "Tb", "Sc", "Sc", "Sc", "Sc", "Dy", "Dy", "Dy", "Dy", "Dy"],
  "fractional_positions": [[0.0000, 0.9249, 0.6372], [0.0000, 0.0751, 0.3628], [0.5000, 0.7504, 0.4270], [0.5000, 0.2009, 0.1281], [0.5000, 0.2496, 0.5730], [0.5000, 0.7991, 0.8719], [0.0000, 0.5461, 0.6681], [0.0000, 0.4539, 0.3319], [0.0000, 0.5000, 0.0000], [0.0000, 0.1486, 0.8662], [0.0000, 0.8514, 0.1338]],
  "volume_a3_per_cell": 327,
  "space_group": "P2/m, No. 10",
  "total_magnetization_mub_per_atom": 0.00
}



Arrangement two

{
  "formula": "Tb2Dy5Sc4",
  "functional": "GGA-PBE",
  "state": "optimized geometry",
  "lattice": [[3.3944, 0.0000, 0.0000], [0.0000, 8.6600, 0.0000], [-1.6972, -4.3300, 11.2320]],
  "species": ["Sc", "Sc", "Sc", "Sc", "Tb", "Tb", "Dy", "Dy", "Dy", "Dy", "Dy"],
  "fractional_positions": [[0.0000, 0.6781, 0.0000], [0.0000, 0.3219, 0.0000], [0.5943, 0.5943, 0.1885], [0.4057, 0.4057, 0.8115], [0.7307, 0.7307, 0.4613], [0.2693, 0.2693, 0.5387], [0.8596, 0.6589, 0.7191], [0.8596, 0.0602, 0.7191], [0.1404, 0.9398, 0.2809], [0.1404, 0.3411, 0.2809], [0.5000, 0.0000, 0.0000]],
  "volume_a3_per_cell": 330,
  "space_group": "Immm, No. 71",
  "total_magnetization_mub_per_atom": 0.00
}



What should be chosen as the least stable of them? Choose arrangement two.



Arrangement one

{
  "formula": "Tb4Dy2Sc3",
  "functional": "GGA-PBE",
  "state": "optimized geometry",
  "lattice": [[-2.0214, 2.2583, -1.7391], [2.7630, -3.7053, -8.0232], [-6.3450, -4.8397, 4.6008]],
  "species": ["Sc", "Sc", "Sc", "Dy", "Dy", "Tb", "Tb", "Tb", "Tb"],
  "fractional_positions": [[0.1485, 0.6658, 0.2970], [0.0000, 0.0000, 0.0000], [0.8515, 0.3342, 0.7030], [0.6648, 0.9930, 0.3296], [0.3352, 0.0070, 0.6704], [0.5191, 0.3368, 0.0382], [0.8139, 0.6680, 0.6278], [0.1861, 0.3320, 0.3722], [0.4809, 0.6632, 0.9618]],
  "volume_a3_per_cell": 263,
  "space_group": "C2/m, No. 12",
  "total_magnetization_mub_per_atom": 0.00
}



Arrangement two

{
  "formula": "Tb4Dy2Sc3",
  "functional": "GGA-PBE",
  "state": "optimized geometry",
  "lattice": [[3.4927, 0.0000, 0.0000], [-1.7463, 3.0247, 0.0000], [0.0000, 0.0000, 25.3415]],
  "species": ["Tb", "Tb", "Tb", "Tb", "Sc", "Sc", "Sc", "Dy", "Dy"],
  "fractional_positions": [[0.6667, 0.3333, 0.2214], [0.0000, 0.0000, 0.7590], [0.0000, 0.0000, 0.5479], [0.6667, 0.3333, 0.4312], [0.0000, 0.0000, 0.3252], [0.6667, 0.3333, 0.6534], [0.0000, 0.0000, 0.9803], [0.6667, 0.3333, 0.8750], [0.6667, 0.3333, 0.0838]],
  "volume_a3_per_cell": 268,
  "space_group": "P3m1, No. 156",
  "total_magnetization_mub_per_atom": 0.00
}



What should be chosen as the least stable of them? Choose arrangement two.



Arrangement one

{
  "formula": "Tb4Dy5Sc",
  "functional": "GGA-PBE",
  "state": "optimized geometry",
  "lattice": [[3.3734, 0.0000, -0.7351], [0.2468, 10.8057, 1.1324], [0.1374, 1.6577, 8.7382]],
  "species": ["Tb", "Tb", "Tb", "Tb", "Dy", "Dy", "Dy", "Dy", "Dy", "Sc"],
  "fractional_positions": [[0.0917, 0.1912, 0.1834], [0.9083, 0.8088, 0.8166], [0.3041, 0.0831, 0.6082], [0.6959, 0.9169, 0.3918], [0.5000, 0.5000, 0.0000], [0.8941, 0.2863, 0.7882], [0.2065, 0.4017, 0.4130], [0.1059, 0.7137, 0.2118], [0.7935, 0.5983, 0.5870], [0.5000, 0.0000, 0.0000]],
  "volume_a3_per_cell": 313,
  "space_group": "C2/m, No. 12",
  "total_magnetization_mub_per_atom": 0.00
}



Arrangement two

{
  "formula": "Tb4Dy5Sc",
  "functional": "GGA-PBE",
  "state": "optimized geometry",
  "lattice": [[5.7656, 0.0000, 0.0000], [2.8828, 7.4606, 0.0000], [2.8828, 0.0000, 7.4606]],
  "species": ["Dy", "Dy", "Dy", "Dy", "Dy", "Tb", "Tb", "Tb", "Tb", "Sc"],
  "fractional_positions": [[0.7733, 0.0000, 0.3733], [0.6751, 0.0000, 0.0000], [0.1465, 0.0000, 0.6267], [0.7733, 0.3733, 0.0000], [0.1465, 0.6267, 0.0000], [0.7703, 0.6771, 0.6771], [0.4474, 0.3229, 0.6771], [0.1246, 0.3229, 0.3229], [0.4474, 0.6771, 0.3229], [0.2059, 0.0000, 0.0000]],
  "volume_a3_per_cell": 321,
  "space_group": "I4mm, No. 107",
  "total_magnetization_mub_per_atom": 0.00
}



What should be chosen as the least stable of them? Choose arrangement two.



Arrangement one

{
  "formula": "Tb7DySc3",
  "functional": "GGA-PBE",
  "state": "optimized geometry",
  "lattice": [[-2.4579, 5.4146, 7.5563], [1.7293, -9.2345, -2.0470], [11.3721, 5.3423, -3.1908]],
  "species": ["Tb", "Tb", "Tb", "Tb", "Tb", "Tb", "Tb", "Tb", "Tb", "Tb", "Tb", "Tb", "Tb", "Tb", "Sc", "Sc", "Sc", "Sc", "Sc", "Sc", "Dy", "Dy"],
  "fractional_positions": [[0.9122, 0.0937, 0.2498], [0.8767, 0.5512, 0.4630], [0.0878, 0.9063, 0.7502], [0.4479, 0.1224, 0.0370], [0.0937, 0.9122, 0.2498], [0.5521, 0.8776, 0.9630], [0.4958, 0.4958, 0.7496], [0.1233, 0.4488, 0.5370], [0.9063, 0.0878, 0.7502], [0.5042, 0.5042, 0.2504], [0.1224, 0.4479, 0.0370], [0.4488, 0.1233, 0.5370], [0.8776, 0.5521, 0.9630], [0.5512, 0.8767, 0.4630], [0.0001, 0.4982, 0.7501], [0.5018, 0.9999, 0.2499], [0.4982, 0.0001, 0.7501], [0.0000, 0.0000, 0.5000], [0.0000, 0.0000, 0.0000], [0.9999, 0.5018, 0.2499], [0.5000, 0.5000, 0.0000], [0.5000, 0.5000, 0.5000]],
  "volume_a3_per_cell": 668,
  "space_group": "C2/m, No. 12",
  "total_magnetization_mub_per_atom": 0.00
}



Arrangement two

{
  "formula": "Tb7DySc3",
  "functional": "GGA-PBE",
  "state": "optimized geometry",
  "lattice": [[8.2515, 0.0000, 0.0000], [0.0000, 6.9651, 0.0000], [0.0000, -3.4825, 6.0319]],
  "species": ["Sc", "Sc", "Sc", "Tb", "Tb", "Tb", "Tb", "Tb", "Tb", "Tb", "Dy"],
  "fractional_positions": [[0.7830, 0.0003, 0.5002], [0.7830, 0.4998, 0.5002], [0.7830, 0.4998, 0.9997], [0.4621, 0.8322, 0.6644], [0.4621, 0.3356, 0.1678], [0.1044, 0.1678, 0.3356], [0.4621, 0.8322, 0.1678], [0.1044, 0.1678, 0.8322], [0.1181, 0.6667, 0.3333], [0.1044, 0.6644, 0.8322], [0.4486, 0.3333, 0.6667]],
  "volume_a3_per_cell": 347,
  "space_group": "P3m1, No. 156",
  "total_magnetization_mub_per_atom": 0.00
}



What should be chosen as the least stable of them? Choose arrangement two.



Arrangement one

{
  "formula": "Tb2DySc6",
  "functional": "GGA-PBE",
  "state": "optimized geometry",
  "lattice": [[1.9898, 2.4257, -1.3009], [-2.9838, -0.7121, -1.4580], [-10.9125, 16.5844, 14.2322]],
  "species": ["Sc", "Sc", "Sc", "Sc", "Sc", "Sc", "Tb", "Tb", "Dy"],
  "fractional_positions": [[0.3333, 0.6667, 0.1121], [0.3333, 0.6667, 0.8879], [0.0000, 0.0000, 0.4385], [0.0000, 0.0000, 0.2146], [0.0000, 0.0000, 0.5615], [0.0000, 0.0000, 0.7854], [0.3333, 0.6667, 0.6723], [0.3333, 0.6667, 0.3277], [0.0000, 0.0000, 0.0000]],
  "volume_a3_per_cell": 244,
  "space_group": "P-6m2, No. 187",
  "total_magnetization_mub_per_atom": 0.12
}



Arrangement two

{
  "formula": "Tb2DySc6",
  "functional": "GGA-PBE",
  "state": "optimized geometry",
  "lattice": [[-3.0048, -1.0266, 0.8039], [-0.9181, -9.4978, -2.1369], [0.6284, -7.1570, 6.6333]],
  "species": ["Dy", "Sc", "Sc", "Sc", "Sc", "Sc", "Sc", "Tb", "Tb"],
  "fractional_positions": [[0.0000, 0.0000, 0.0000], [0.4995, 0.3331, 0.6669], [0.1675, 0.0000, 0.3330], [0.4995, 0.6669, 0.3331], [0.8330, 0.0000, 0.6670], [0.8330, 0.6670, 0.0000], [0.1675, 0.3330, 0.0000], [0.3334, 0.3333, 0.3333], [0.6666, 0.6667, 0.6667]],
  "volume_a3_per_cell": 240,
  "space_group": "C2/m, No. 12",
  "total_magnetization_mub_per_atom": 0.00
}



What should be chosen as the least stable of them? Choose arrangement one.



Arrangement one

{
  "formula": "TbDy2Sc7",
  "functional": "GGA-PBE",
  "state": "optimized geometry",
  "lattice": [[3.3239, 0.0000, 0.0000], [0.0000, 13.1376, -4.5371], [0.0000, -9.9762, 9.6777]],
  "species": ["Tb", "Sc", "Sc", "Sc", "Sc", "Sc", "Sc", "Sc", "Dy", "Dy"],
  "fractional_positions": [[0.0000, 0.0000, 0.0000], [0.5000, 0.8516, 0.6540], [0.5000, 0.1484, 0.3460], [0.0000, 0.1821, 0.8179], [0.5000, 0.5000, 0.5000], [0.0000, 0.8179, 0.1821], [0.5000, 0.3460, 0.1484], [0.5000, 0.6540, 0.8516], [0.5000, 0.2893, 0.7107], [0.5000, 0.7107, 0.2893]],
  "volume_a3_per_cell": 272,
  "space_group": "Cmmm, No. 65",
  "total_magnetization_mub_per_atom": 0.00
}



Arrangement two

{
  "formula": "TbDy2Sc7",
  "functional": "GGA-PBE",
  "state": "optimized geometry",
  "lattice": [[5.5519, -0.0632, -1.5526], [1.2713, 8.2909, -2.8902], [-3.0730, -0.5396, 6.7629]],
  "species": ["Sc", "Sc", "Sc", "Sc", "Sc", "Sc", "Sc", "Dy", "Dy", "Tb"],
  "fractional_positions": [[0.7987, 0.5967, 0.7978], [0.2013, 0.4033, 0.2023], [0.8970, 0.3046, 0.3990], [0.7006, 0.8970, 0.1985], [0.2994, 0.1030, 0.8015], [0.1030, 0.6954, 0.6010], [0.5000, 0.5000, 0.0000], [0.6037, 0.2065, 0.6038], [0.3963, 0.7935, 0.3962], [0.0000, 0.0000, 0.0000]],
  "volume_a3_per_cell": 264,
  "space_group": "P-1, No. 2",
  "total_magnetization_mub_per_atom": 0.00
}



What should be chosen as the least stable of them? Choose arrangement one.



Arrangement one

{
  "formula": "Tb4Dy6Sc",
  "functional": "GGA-PBE",
  "state": "optimized geometry",
  "lattice": [[5.6493, 0.0000, 0.0000], [-2.8246, 4.7695, 0.0000], [0.0000, 0.0000, 25.4576]],
  "species": ["Sc", "Sc", "Dy", "Dy", "Dy", "Dy", "Dy", "Dy", "Dy", "Dy", "Dy", "Dy", "Dy", "Dy", "Tb", "Tb", "Tb", "Tb", "Tb", "Tb", "Tb", "Tb"],
  "fractional_positions": [[0.8104, 0.6209, 0.2500], [0.1896, 0.3791, 0.7500], [0.8079, 0.6158, 0.1078], [0.1408, 0.2816, 0.1832], [0.8592, 0.7184, 0.8168], [0.5241, 0.0483, 0.7500], [0.4759, 0.9517, 0.2500], [0.5000, 0.0000, 0.5000], [0.1408, 0.2816, 0.3168], [0.1921, 0.3842, 0.6078], [0.5000, 0.0000, 0.0000], [0.8079, 0.6158, 0.3922], [0.8592, 0.7184, 0.6832], [0.1921, 0.3842, 0.8922], [0.4689, 0.9377, 0.1218], [0.5311, 0.0623, 0.6218], [0.4689, 0.9377, 0.3782], [0.8442, 0.6885, 0.5441], [0.5311, 0.0623, 0.8782], [0.1558, 0.3115, 0.4559], [0.8442, 0.6885, 0.9559], [0.1558, 0.3115, 0.0441]],
  "volume_a3_per_cell": 686,
  "space_group": "Cmcm, No. 63",
  "total_magnetization_mub_per_atom": 0.00
}



Arrangement two

{
  "formula": "Tb4Dy6Sc",
  "functional": "GGA-PBE",
  "state": "optimized geometry",
  "lattice": [[-4.8476, 2.4148, 3.5681], [-4.2882, -2.1839, -4.3478], [4.0210, -7.4647, 4.6206]],
  "species": ["Tb", "Tb", "Tb", "Tb", "Dy", "Dy", "Dy", "Dy", "Dy", "Dy", "Sc"],
  "fractional_positions": [[0.3120, 0.3120, 0.2658], [0.9539, 0.9539, 0.2658], [0.6880, 0.0461, 0.7342], [0.0461, 0.6880, 0.7342], [0.1435, 0.1435, 0.6580], [0.8565, 0.4856, 0.3420], [0.5000, 0.0000, 0.0000], [0.5144, 0.5144, 0.6580], [0.0000, 0.5000, 0.0000], [0.4856, 0.8565, 0.3420], [0.5000, 0.5000, 0.0000]],
  "volume_a3_per_cell": 357,
  "space_group": "I-42m, No. 121",
  "total_magnetization_mub_per_atom": 0.00
}



What should be chosen as the least stable of them? Choose arrangement two.



Arrangement one

{
  "formula": "Tb2Dy4Sc",
  "functional": "GGA-PBE",
  "state": "optimized geometry",
  "lattice": [[5.4978, 0.0000, 0.0000], [0.0000, 12.1153, 0.0000], [0.0000, 0.0000, 13.1767]],
  "species": ["Dy", "Dy", "Dy", "Dy", "Dy", "Dy", "Dy", "Dy", "Dy", "Dy", "Dy", "Dy", "Dy", "Dy", "Dy", "Dy", "Tb", "Tb", "Tb", "Tb", "Tb", "Tb", "Tb", "Tb", "Sc", "Sc", "Sc", "Sc"],
  "fractional_positions": [[0.9987, 0.7543, 0.0749], [0.0013, 0.2543, 0.4251], [0.9986, 0.8545, 0.3206], [0.5014, 0.3545, 0.3206], [0.0014, 0.3545, 0.1794], [0.4986, 0.6455, 0.6794], [0.0013, 0.2457, 0.9251], [0.5014, 0.1455, 0.8206], [0.4987, 0.7543, 0.4251], [0.0014, 0.1455, 0.6794], [0.9986, 0.6455, 0.8206], [0.9987, 0.7457, 0.5749], [0.4987, 0.7457, 0.9251], [0.5013, 0.2543, 0.0749], [0.5013, 0.2457, 0.5749], [0.4986, 0.8545, 0.1794], [0.5002, 0.0681, 0.3451], [0.0002, 0.0681, 0.1549], [0.4998, 0.9319, 0.6549], [0.5002, 0.4319, 0.8451], [0.9998, 0.9319, 0.8451], [0.0002, 0.4319, 0.6549], [0.4998, 0.5681, 0.1549], [0.9998, 0.5681, 0.3451], [0.5000, 0.5000, 0.5000], [0.5000, 0.0000, 0.0000], [0.0000, 0.5000, 0.0000], [0.0000, 0.0000, 0.5000]],
  "volume_a3_per_cell": 878,
  "space_group": "Pbca, No. 61",
  "total_magnetization_mub_per_atom": 0.00
}



Arrangement two

{
  "formula": "Tb2Dy4Sc",
  "functional": "GGA-PBE",
  "state": "optimized geometry",
  "lattice": [[6.0192, 0.0000, -0.2906], [0.0000, 6.5055, 0.0000], [-2.3675, 0.0000, 11.1218]],
  "species": ["Tb", "Tb", "Tb", "Tb", "Dy", "Dy", "Dy", "Dy", "Dy", "Dy", "Dy", "Dy", "Sc", "Sc"],
  "fractional_positions": [[0.3902, 0.2500, 0.9996], [0.2810, 0.2500, 0.4232], [0.7190, 0.7500, 0.5768], [0.6098, 0.7500, 0.0004], [0.1510, 0.7500, 0.4408], [0.3548, 0.0056, 0.7131], [0.3548, 0.4944, 0.7131], [0.0323, 0.7500, 0.8672], [0.8490, 0.2500, 0.5592], [0.6452, 0.9944, 0.2869], [0.9677, 0.2500, 0.1328], [0.6452, 0.5056, 0.2869], [0.8487, 0.2500, 0.8379], [0.1513, 0.7500, 0.1621]],
  "volume_a3_per_cell": 431,
  "space_group": "P2_1/m, No. 11",
  "total_magnetization_mub_per_atom": 0.00
}



What should be chosen as the least stable of them? Choose arrangement one.



Arrangement one

{
  "formula": "Tb6Dy4Sc",
  "functional": "GGA-PBE",
  "state": "optimized geometry",
  "lattice": [[-5.9017, 1.1880, 2.4490], [-2.7125, -3.0531, -5.0557], [4.6027, -6.4005, 5.5731]],
  "species": ["Sc", "Tb", "Tb", "Tb", "Tb", "Tb", "Tb", "Dy", "Dy", "Dy", "Dy"],
  "fractional_positions": [[0.5000, 0.5000, 0.0000], [0.5139, 0.5139, 0.6561], [0.4861, 0.8578, 0.3439], [0.0000, 0.5000, 0.0000], [0.5000, 0.0000, 0.0000], [0.8578, 0.4861, 0.3439], [0.1422, 0.1422, 0.6561], [0.6892, 0.0474, 0.7366], [0.0474, 0.6892, 0.7366], [0.3108, 0.3108, 0.2634], [0.9526, 0.9526, 0.2634]],
  "volume_a3_per_cell": 359,
  "space_group": "I-42m, No. 121",
  "total_magnetization_mub_per_atom": 0.00
}



Arrangement two

{
  "formula": "Tb6Dy4Sc",
  "functional": "GGA-PBE",
  "state": "optimized geometry",
  "lattice": [[-3.2559, -2.6037, 3.8345], [5.0544, -1.9423, -1.2107], [9.9871, 14.5462, 18.3572]],
  "species": ["Tb", "Tb", "Tb", "Tb", "Tb", "Tb", "Tb", "Tb", "Tb", "Tb", "Tb", "Tb", "Dy", "Dy", "Dy", "Dy", "Dy", "Dy", "Dy", "Dy", "Sc", "Sc"],
  "fractional_positions": [[0.5270, 0.0540, 0.7500], [0.1944, 0.3888, 0.8929], [0.8056, 0.6112, 0.1071], [0.8056, 0.6112, 0.3929], [0.1944, 0.3888, 0.6071], [0.8620, 0.7240, 0.8169], [0.5000, 0.0000, 0.5000], [0.4730, 0.9460, 0.2500], [0.1380, 0.2760, 0.3169], [0.8620, 0.7240, 0.6831], [0.1380, 0.2760, 0.1831], [0.5000, 0.0000, 0.0000], [0.1546, 0.3092, 0.4561], [0.4661, 0.9322, 0.1219], [0.8454, 0.6908, 0.5439], [0.1546, 0.3092, 0.0439], [0.8454, 0.6908, 0.9561], [0.5339, 0.0678, 0.8781], [0.4661, 0.9322, 0.3781], [0.5339, 0.0678, 0.6219], [0.8083, 0.6165, 0.2500], [0.1917, 0.3835, 0.7500]],
  "volume_a3_per_cell": 688,
  "space_group": "Cmcm, No. 63",
  "total_magnetization_mub_per_atom": 0.00
}



What should be chosen as the least stable of them? Choose arrangement one.